GGA+U V3W2O12, relaxed; total DFT energy (no corrections) = -0.5575 Ry/atom
1.0
9.363 0.000 0.000
0.000 9.361 0.000
-9.126 0.000 13.292
V W O
12 8 48
Cartesian
-1.054 0.957 1.897
-5.617 3.723 8.543
1.047 5.707 1.932
-3.516 8.334 8.578
-0.134 2.334 6.618
-4.697 2.346 13.264
4.934 7.015 0.028
0.371 7.026 6.674
3.752 1.027 4.714
-0.810 3.653 11.361
5.854 5.637 4.749
1.291 8.404 11.396
-6.829 4.995 11.775
-2.266 9.046 5.129
-2.274 4.940 8.225
2.289 9.101 1.579
-2.052 0.260 11.713
2.511 4.421 5.067
2.503 0.314 8.163
7.066 4.366 1.517
-7.621 6.620 11.203
-3.058 7.421 4.557
-0.819 5.424 1.925
-5.382 8.617 8.571
-1.506 0.012 3.340
-6.069 4.669 9.986
-2.814 5.175 6.292
-7.377 8.866 12.938
1.789 5.213 0.280
-2.774 8.828 6.926
0.795 0.886 1.777
-3.768 3.795 8.423
-1.154 1.275 5.681
-5.717 3.405 12.327
-3.188 6.482 8.726
1.375 7.559 2.080
-5.128 6.089 12.200
-0.565 7.952 5.554
3.424 1.242 0.863
-1.139 3.438 7.509
1.814 4.767 3.376
-2.749 9.274 10.022
-0.695 6.137 7.728
3.868 7.904 1.082
-3.631 1.457 12.210
0.931 3.223 5.564
2.985 0.087 3.270
-1.577 4.594 9.916
1.376 5.922 5.783
-3.187 8.119 12.429
0.802 1.409 7.738
5.365 3.271 1.092
-1.138 1.802 11.212
3.425 2.879 4.566
5.954 5.955 0.965
1.391 8.086 7.611
4.005 5.566 4.869
-0.558 8.475 11.515
3.010 0.532 6.366
-1.553 4.148 13.012
7.614 0.495 0.354
3.051 4.186 7.000
6.306 4.692 3.307
1.743 9.349 9.953
5.619 0.743 4.721
1.056 3.937 11.367
3.295 1.940 8.735
7.857 2.740 2.089